1.
First-principles (PBE) data for an optimized crystal structure of LaAl3PdAu, as listed in Alexandria via LeMat-Bulk.

Cell lengths 7.3068, 7.3068, 5.9659 Å; angles 90.00, 90.00, 130.68 degrees
Closest atoms and distances in Å follow each position.
Element x y z (fractional)
La: 0.2090 0.7910 0.7500  1 Pd 2.74, 2 Au 3.05
La: 0.7910 0.2090 0.2500  1 Pd 2.74, 2 Au 3.05
Al: 0.2143 0.2143 0.0000  2 Pd 2.55, 3 Al 2.61-2.85
Al: 0.2143 0.2143 0.5000  2 Pd 2.55, 3 Al 2.61-2.85
Al: 0.3726 0.6274 0.2500  1 Au 2.81, 3 Pd 2.81-3.04, 4 Al 2.85
Al: 0.6274 0.3726 0.7500  1 Au 2.81, 3 Pd 2.81-3.04, 4 Al 2.85
Al: 0.7857 0.7857 0.0000  2 Pd 2.55, 3 Al 2.61-2.85
Al: 0.7857 0.7857 0.5000  2 Pd 2.55, 3 Al 2.61-2.85
Pd: 0.4156 0.5844 0.7500  5 Al 2.55-2.81, 1 La 2.74
Pd: 0.5844 0.4156 0.2500  5 Al 2.55-2.81, 1 La 2.74
Au: 0.1614 0.8386 0.2500  5 Al 2.81-2.92, 2 La 3.05
Au: 0.8386 0.1614 0.7500  5 Al 2.81-2.92, 2 La 3.05

Properties
ΔE_f = -544.3 meV per atom
total moment = 0.000 μB per atom

2.
First-principles (PBE) data for an optimized crystal structure of Rb3Tc5O12, as listed in Alexandria via LeMat-Bulk.

Cell lengths 11.6034, 11.6034, 11.6034 Å; angles 109.47, 109.47, 109.47 degrees
Closest atoms and distances in Å follow each position.
Element x y z (fractional)
Rb: 0.1250 0.2500 0.3750  8 O 2.70-2.97
Rb: 0.1250 0.3750 0.7500  8 O 2.70-2.97
Rb: 0.2500 0.3750 0.1250  8 O 2.70-2.97
Rb: 0.2500 0.8750 0.6250  8 O 2.70-2.97
Rb: 0.3750 0.1250 0.2500  8 O 2.70-2.97
Rb: 0.3750 0.7500 0.1250  8 O 2.70-2.97
Rb: 0.6250 0.2500 0.8750  8 O 2.70-2.97
Rb: 0.6250 0.8750 0.7500  8 O 2.70-2.97
Rb: 0.7500 0.1250 0.3750  8 O 2.70-2.97
Rb: 0.7500 0.6250 0.8750  8 O 2.70-2.97
Rb: 0.8750 0.6250 0.2500  8 O 2.70-2.97
Rb: 0.8750 0.7500 0.6250  8 O 2.70-2.97
Tc: 0.0000 0.0000 0.0000  6 O 2.05
Tc: 0.0000 0.0000 0.5000  6 O 2.05
Tc: 0.0000 0.5000 0.0000  6 O 2.05
Tc: 0.0000 0.5000 0.5000  6 O 2.05
Tc: 0.1250 0.7500 0.8750  4 O 1.86
Tc: 0.1250 0.8750 0.2500  4 O 1.86
Tc: 0.2500 0.1250 0.8750  4 O 1.86
Tc: 0.2500 0.6250 0.3750  4 O 1.86
Tc: 0.3750 0.2500 0.6250  4 O 1.86
Tc: 0.3750 0.6250 0.7500  4 O 1.86
Tc: 0.5000 0.0000 0.0000  6 O 2.05
Tc: 0.5000 0.0000 0.5000  6 O 2.05
Tc: 0.5000 0.5000 0.0000  6 O 2.05
Tc: 0.5000 0.5000 0.5000  6 O 2.05
Tc: 0.6250 0.3750 0.2500  4 O 1.86
Tc: 0.6250 0.7500 0.3750  4 O 1.86
Tc: 0.7500 0.3750 0.6250  4 O 1.86
Tc: 0.7500 0.8750 0.1250  4 O 1.86
Tc: 0.8750 0.1250 0.7500  4 O 1.86
Tc: 0.8750 0.2500 0.1250  4 O 1.86
O: 0.0092 0.6857 0.1094  2 Tc 1.86-2.05
O: 0.0092 0.8234 0.8997  2 Tc 1.86-2.05
O: 0.0763 0.6766 0.6857  2 Tc 1.86-2.05
O: 0.0763 0.8997 0.3906  2 Tc 1.86-2.05
O: 0.1003 0.6094 0.9237  2 Tc 1.86-2.05
O: 0.1003 0.9908 0.1766  2 Tc 1.86-2.05
O: 0.1094 0.0092 0.6857  2 Tc 1.86-2.05
O: 0.1094 0.6003 0.4237  2 Tc 1.86-2.05
O: 0.1766 0.1003 0.9908  2 Tc 1.86-2.05
O: 0.1766 0.5763 0.1857  2 Tc 1.86-2.05
O: 0.1857 0.1766 0.5763  2 Tc 1.86-2.05
O: 0.1857 0.5092 0.6094  2 Tc 1.86-2.05
O: 0.3143 0.8906 0.9908  2 Tc 1.86-2.05
O: 0.3143 0.9237 0.3234  2 Tc 1.86-2.05
O: 0.3234 0.3143 0.9237  2 Tc 1.86-2.05
O: 0.3234 0.5092 0.3997  2 Tc 1.86-2.05
O: 0.3906 0.0763 0.8997  2 Tc 1.86-2.05
O: 0.3906 0.8143 0.4908  2 Tc 1.86-2.05
O: 0.3997 0.3234 0.5092  2 Tc 1.86-2.05
O: 0.3997 0.5763 0.8906  2 Tc 1.86-2.05
O: 0.4237 0.1094 0.6003  2 Tc 1.86-2.05
O: 0.4237 0.8143 0.8234  2 Tc 1.86-2.05
O: 0.4908 0.3906 0.8143  2 Tc 1.86-2.05
O: 0.4908 0.6003 0.6766  2 Tc 1.86-2.05
O: 0.5092 0.3997 0.3234  2 Tc 1.86-2.05
O: 0.5092 0.6094 0.1857  2 Tc 1.86-2.05
O: 0.5763 0.1857 0.1766  2 Tc 1.86-2.05
O: 0.5763 0.8906 0.3997  2 Tc 1.86-2.05
O: 0.6003 0.4237 0.1094  2 Tc 1.86-2.05
O: 0.6003 0.6766 0.4908  2 Tc 1.86-2.05
O: 0.6094 0.1857 0.5092  2 Tc 1.86-2.05
O: 0.6094 0.9237 0.1003  2 Tc 1.86-2.05
O: 0.6766 0.4908 0.6003  2 Tc 1.86-2.05
O: 0.6766 0.6857 0.0763  2 Tc 1.86-2.05
O: 0.6857 0.0763 0.6766  2 Tc 1.86-2.05
O: 0.6857 0.1094 0.0092  2 Tc 1.86-2.05
O: 0.8143 0.4908 0.3906  2 Tc 1.86-2.05
O: 0.8143 0.8234 0.4237  2 Tc 1.86-2.05
O: 0.8234 0.4237 0.8143  2 Tc 1.86-2.05
O: 0.8234 0.8997 0.0092  2 Tc 1.86-2.05
O: 0.8906 0.3997 0.5763  2 Tc 1.86-2.05
O: 0.8906 0.9908 0.3143  2 Tc 1.86-2.05
O: 0.8997 0.0092 0.8234  2 Tc 1.86-2.05
O: 0.8997 0.3906 0.0763  2 Tc 1.86-2.05
O: 0.9237 0.1003 0.6094  2 Tc 1.86-2.05
O: 0.9237 0.3234 0.3143  2 Tc 1.86-2.05
O: 0.9908 0.1766 0.1003  2 Tc 1.86-2.05
O: 0.9908 0.3143 0.8906  2 Tc 1.86-2.05

Properties
energy relative to the elements, uncorrected = -1.3328 eV per atom
total moment = 0.105 μB per atom

3.
First-principles (PBE) data for an optimized crystal structure of YAgBr, as listed in Alexandria via LeMat-Bulk.

Cell lengths 3.8001, 3.8001, 7.1675 Å; angles 90.00, 90.00, 120.00 degrees
Closest atoms and distances in Å follow each position.
Element x y z (fractional)
Y: 0.0000 0.0000 0.0000  3 Br 2.92, 3 Ag 3.00
Ag: 0.6667 0.3333 0.2847  3 Y 3.00
Br: 0.3333 0.6667 0.7305  3 Y 2.92

Properties
energy relative to the lowest polymorph listed for this composition = 19.8 kJ per mole of atoms
energy relative to the elements, uncorrected = -0.6440 eV per atom
total moment = 0.218 μB per atom

4.
First-principles (PBE) data for an optimized crystal structure of CeEu3, as listed in Alexandria via LeMat-Bulk.

Cell lengths 7.3023, 7.3023, 7.3023 Å; angles 150.28, 62.72, 126.15 degrees
Closest atoms and distances in Å follow each position.
Element x y z (fractional)
Ce: 0.0000 0.0000 0.0000  10 Eu 3.72-3.90, 2 Ce 3.75
Eu: 0.4066 0.6641 0.7426  3 Ce 3.72-3.90, 9 Eu 3.75-3.87
Eu: 0.5029 0.0029 0.5000  8 Eu 3.75-3.87, 4 Ce 3.78-3.82
Eu: 0.9215 0.6641 0.2574  3 Ce 3.72-3.90, 9 Eu 3.75-3.87

Properties
ΔE_f = 182.0 meV per atom
energy relative to the lowest polymorph listed for this composition = 1.0 kJ per mole of atoms
total moment = 2.254 μB per atom